VASP calculation (PBE+U) on a relaxed CsNiAg2F6 crystal.

Properties
final energy	-3.733	eV/atom
volume	314.2	Å³/cell

a b c (Å): 7.4442 6.6983 6.6983
angles (deg): 77.87 77.75 77.75
Last column: magnetic moment on the atom in μB.
Positions (direct):
Ni: 0.2500 0.2504 0.7496  1.82
Ni: 0.7500 0.7496 0.2504  1.82
F: 0.6468 0.5798 0.0804  0.11
Cs: 0.2500 0.7505 0.2495  0.00
F: 0.9129 0.4693 0.3220  0.09
F: 0.0871 0.5307 0.6780  0.09
F: 0.9132 0.8211 0.9703  0.08
F: 0.4132 0.9703 0.8211  0.08
F: 0.4129 0.3220 0.4693  0.09
F: 0.3532 0.4202 0.9196  0.11
F: 0.5871 0.6780 0.5307  0.09
F: 0.8532 0.9196 0.4202  0.11
Ag: 0.7497 0.2496 0.2505  0.29
Ag: 0.2497 0.2505 0.2496  0.29
F: 0.5868 0.0297 0.1789  0.08
Ag: 0.7503 0.7495 0.7504  0.29
F: 0.1468 0.0804 0.5798  0.11
Ag: 0.2503 0.7504 0.7495  0.29
F: 0.0868 0.1789 0.0297  0.08
Cs: 0.7500 0.2495 0.7505  0.00